1.
ErZrFePt | GGA-PBE | optimized geometry

Values from the calculation:
formation enthalpy at 0 K = -0.530 eV/atom
symmetry = F-43m, No. 216
V = 18.71 A^3/atom

Cell: 6.6897 6.6897 6.6897 Å, 90.00 90.00 90.00°
Fractional positions:
Er  0.0000  0.0000  0.0000
Er  0.0000  0.5000  0.5000
Er  0.5000  0.0000  0.5000
Er  0.5000  0.5000  0.0000
Zr  0.0000  0.0000  0.5000
Zr  0.0000  0.5000  0.0000
Zr  0.5000  0.0000  0.0000
Zr  0.5000  0.5000  0.5000
Fe  0.2500  0.2500  0.2500
Fe  0.2500  0.7500  0.7500
Fe  0.7500  0.2500  0.7500
Fe  0.7500  0.7500  0.2500
Pt  0.2500  0.2500  0.7500
Pt  0.2500  0.7500  0.2500
Pt  0.7500  0.2500  0.2500
Pt  0.7500  0.7500  0.7500

=====

2.
Ac3TbNd2Te6 | GGA-PBE | optimized geometry

Values from the calculation:
formation energy without anion corrections = -1.4344 eV/atom
symmetry = C2/m, No. 12
V = 34.27 A^3/atom

Cell: 10.3064 10.3064 9.2741 Å, 104.00 104.00 25.53°
Fractional positions:
Ac  0.0000  0.0000  0.0000
Ac  0.3304  0.3304  0.6654
Ac  0.6696  0.6696  0.3346
Tb  0.0000  0.0000  0.5000
Nd  0.3321  0.3321  0.1651
Nd  0.6679  0.6679  0.8349
Te  0.1593  0.1593  0.5896
Te  0.1693  0.1693  0.0751
Te  0.4978  0.4978  0.2658
Te  0.5022  0.5022  0.7342
Te  0.8307  0.8307  0.9249
Te  0.8407  0.8407  0.4104

=====

3.
NaLa2TlNi | GGA-PBE | optimized geometry

Values from the calculation:
formation enthalpy at 0 K = -0.073 eV/atom
symmetry = P4/mmm, No. 123
V = 30.30 A^3/atom
offset from the most stable computed form = 20.6 meV per atom

Cell: 5.3710 5.3710 5.2517 Å, 90.00 90.00 90.00°
Fractional positions:
Na  0.0000  0.0000  0.0000
La  0.0000  0.5000  0.5000
La  0.5000  0.0000  0.5000
Tl  0.5000  0.5000  0.0000
Ni  0.0000  0.0000  0.5000

=====

4.
Dy5TmIn8 | GGA-PBE | optimized geometry

Values from the calculation:
formation enthalpy at 0 K = -0.324 eV/atom
symmetry = I-4, No. 82
V = 27.48 A^3/atom

Cell: 7.9360 7.9360 7.9360 Å, 109.28 109.28 109.85°
Fractional positions:
Dy  0.0000  0.0000  0.0000
Dy  0.1279  0.2524  0.6305
Dy  0.5026  0.8721  0.1245
Dy  0.6219  0.4974  0.3695
Dy  0.7476  0.3781  0.8755
Tm  0.2500  0.7500  0.5000
In  0.0431  0.6264  0.7473
In  0.2026  0.4581  0.0841
In  0.3740  0.1186  0.9159
In  0.3736  0.1209  0.4167
In  0.5419  0.6260  0.7445
In  0.7042  0.9569  0.5833
In  0.8791  0.2958  0.2527
In  0.8814  0.7974  0.2555

=====

5.
LaSnH2 | GGA-PBE | optimized geometry

Values from the calculation:
symmetry = P1, No. 1
V = 17.97 A^3/atom

Cell: 4.3815 4.6315 4.7691 Å, 61.72 63.03 62.07°
Fractional positions:
La  0.0000  0.0000  0.0000
Sn  0.5240  0.4928  0.4597
H  0.3407  0.3830  0.9440
H  0.9700  0.5305  0.5318

=====

6.
Rb5BeI8 | GGA-PBE | optimized geometry

Values from the calculation:
formation energy without anion corrections = -1.0798 eV/atom
symmetry = I-4, No. 82
V = 54.28 A^3/atom

Cell: 10.0545 10.0545 10.0545 Å, 115.45 115.45 98.08°
Fractional positions:
Rb  0.0000  0.0000  0.0000
Rb  0.1000  0.2564  0.5789
Rb  0.4789  0.9000  0.1564
Rb  0.6775  0.5211  0.4211
Rb  0.7436  0.3225  0.8436
Be  0.2500  0.7500  0.5000
I  0.0098  0.6047  0.8293
I  0.3286  0.6512  0.2910
I  0.3488  0.6399  0.6774
I  0.3601  0.0376  0.7090
I  0.3953  0.2246  0.4051
I  0.7754  0.1805  0.1707
I  0.8195  0.9902  0.5949
I  0.9624  0.6714  0.3226

=====

Number 1: N(E_F) 0.77 states/eV per atom, total energy -118.9 eV per cell. Number 2: N(E_F) 0.57 states/eV per atom, total energy -62.6 eV per cell. Number 3: N(E_F) 1.26 states/eV per atom, total energy -19.7 eV per cell. Number 4: N(E_F) 0.78 states/eV per atom, total energy -53.9 eV per cell. Number 5: N(E_F) 0.50 states/eV per atom, total energy -16.7 eV per cell. Number 6: N(E_F) 1.29 states/eV per atom, total energy -36.1 eV per cell.